# Ba6Au3N2 PBE-GGA optimized geometry
# - Raw formation energy: -0.493 eV/atom
# - Theoretical density: 6.18 g/cm3
# - Crystal system: tetragonal
data_Ba6Au3N2
_cell_length_a 5.3126
_cell_length_b 5.3126
_cell_length_c 27.4606
_cell_angle_alpha 90.00
_cell_angle_beta 90.00
_cell_angle_gamma 90.00
_symmetry_space_group_name_H-M 'I 4/m m m'
_symmetry_Int_Tables_number 139
_symmetry_space_group_name_Hall '-I 4 2'
loop_
_atom_site_label
_atom_site_fract_x
_atom_site_fract_y
_atom_site_fract_z
Ba1 0.0000 0.0000 0.1986
Ba2 0.0000 0.5000 0.0840
Au1 0.0000 0.0000 0.3288
Au2 0.0000 0.0000 0.5000
N1 0.0000 0.0000 0.1090